# KCo2Br | Alexandria via LeMat-Bulk | PBE | relaxed
# Energy above the lowest structure with this stoichiometry: 174 meV/atom
# Raw formation energy: 152 kJ/mol of formula units
data_KCo2Br
_cell_length_a 11.653
_cell_length_b 3.289
_cell_length_c 6.163
_cell_angle_alpha 90.00
_cell_angle_beta 117.41
_cell_angle_gamma 90.00
_symmetry_space_group_name_H-M 'C 1 2/m 1'
_symmetry_Int_Tables_number 12
loop_
_symmetry_equiv_pos_as_xyz
'x,y,z'
'-x,-y,-z'
'-x,y,-z'
'x,-y,z'
'x+1/2,y+1/2,z'
'-x+1/2,-y+1/2,-z'
'-x+1/2,y+1/2,-z'
'x+1/2,-y+1/2,z'
loop_
_atom_site_label
_atom_site_fract_x
_atom_site_fract_y
_atom_site_fract_z
K1 0.000 0.000 0.000
Co1 0.201 0.000 0.546
Br1 0.000 0.500 0.500

# Hf2ZnI | Alexandria via LeMat-Bulk | PBE | relaxed
# Energy above the lowest structure with this stoichiometry: 531 meV/atom
# Raw formation energy: 311 kJ/mol of formula units
data_Hf2ZnI
_cell_length_a 5.832
_cell_length_b 5.832
_cell_length_c 13.826
_cell_angle_alpha 90.00
_cell_angle_beta 90.00
_cell_angle_gamma 90.00
_symmetry_space_group_name_H-M 'I -4 2 d'
_symmetry_Int_Tables_number 122
_symmetry_space_group_name_Hall 'I -4 2bw'
loop_
_atom_site_label
_atom_site_fract_x
_atom_site_fract_y
_atom_site_fract_z
Hf1 0.185 0.250 0.125
Zn1 0.000 0.000 0.000
I1 0.000 0.000 0.500

# NaLiCd | Alexandria via LeMat-Bulk | PBE | relaxed
# Energy relative to the elements: -0.07 eV/atom
# Energy above the lowest structure with this stoichiometry: 48 meV/atom
data_NaLiCd
_cell_length_a 5.1815
_cell_length_b 5.1815
_cell_length_c 2.9744
_cell_angle_alpha 90.00
_cell_angle_beta 90.00
_cell_angle_gamma 120.00
_symmetry_space_group_name_H-M 'P 3 m 1'
_symmetry_Int_Tables_number 156
loop_
_symmetry_equiv_pos_as_xyz
'x,y,z'
'-y,x-y,z'
'-x+y,-x,z'
'-y,-x,z'
'-x+y,y,z'
'x,x-y,z'
loop_
_atom_site_label
_atom_site_fract_x
_atom_site_fract_y
_atom_site_fract_z
Na1 0.0000 0.0000 0.0000
Li1 0.3333 0.6667 0.7638
Cd1 0.6667 0.3333 0.4145

# NaAl3Pd2 | Alexandria via LeMat-Bulk | PBE | relaxed
# Energy relative to the elements: -0.51 eV/atom
data_NaAl3Pd2
_cell_length_a 9.880
_cell_length_b 8.246
_cell_length_c 5.562
_cell_angle_alpha 90.00
_cell_angle_beta 90.00
_cell_angle_gamma 90.00
_symmetry_space_group_name_H-M 'C m c m'
_symmetry_Int_Tables_number 63
_symmetry_space_group_name_Hall '-C 2c 2'
loop_
_atom_site_label
_atom_site_fract_x
_atom_site_fract_y
_atom_site_fract_z
Na1 0.000 0.124 0.250
Al1 0.000 0.469 0.750
Al2 0.192 0.231 0.750
Pd1 0.216 0.500 0.000

# AlNiAu | Alexandria via LeMat-Bulk | PBE | relaxed
# Energy relative to the elements: -0.38 eV/atom
data_AlNiAu
_cell_length_a 3.036
_cell_length_b 3.058
_cell_length_c 9.173
_cell_angle_alpha 90.00
_cell_angle_beta 90.00
_cell_angle_gamma 90.00
_symmetry_space_group_name_H-M 'I m m 2'
_symmetry_Int_Tables_number 44
loop_
_symmetry_equiv_pos_as_xyz
'x,y,z'
'-x,-y,z'
'-x,y,z'
'x,-y,z'
'x+1/2,y+1/2,z+1/2'
'-x+1/2,-y+1/2,z+1/2'
'-x+1/2,y+1/2,z+1/2'
'x+1/2,-y+1/2,z+1/2'
loop_
_atom_site_label
_atom_site_fract_x
_atom_site_fract_y
_atom_site_fract_z
Al1 0.000 0.000 0.000
Ni1 0.000 0.000 0.373
Au1 0.000 0.000 0.682

# FeTeP2 | Alexandria via LeMat-Bulk | PBE | relaxed
# Raw formation energy: 62 kJ/mol of formula units
data_FeTeP2
_cell_length_a 5.674
_cell_length_b 5.674
_cell_length_c 10.431
_cell_angle_alpha 90.00
_cell_angle_beta 90.00
_cell_angle_gamma 90.00
_symmetry_space_group_name_H-M 'I -4 2 d'
_symmetry_Int_Tables_number 122
_symmetry_space_group_name_Hall 'I -4 2bw'
loop_
_atom_site_label
_atom_site_fract_x
_atom_site_fract_y
_atom_site_fract_z
Fe1 0.000 0.000 0.000
Te1 0.000 0.000 0.500
P1 0.155 0.250 0.125

Copy entry 3 word for word.
# NaLiCd | Alexandria via LeMat-Bulk | PBE | relaxed
# Energy relative to the elements: -0.07 eV/atom
# Energy above the lowest structure with this stoichiometry: 48 meV/atom
data_NaLiCd
_cell_length_a 5.1815
_cell_length_b 5.1815
_cell_length_c 2.9744
_cell_angle_alpha 90.00
_cell_angle_beta 90.00
_cell_angle_gamma 120.00
_symmetry_space_group_name_H-M 'P 3 m 1'
_symmetry_Int_Tables_number 156
loop_
_symmetry_equiv_pos_as_xyz
'x,y,z'
'-y,x-y,z'
'-x+y,-x,z'
'-y,-x,z'
'-x+y,y,z'
'x,x-y,z'
loop_
_atom_site_label
_atom_site_fract_x
_atom_site_fract_y
_atom_site_fract_z
Na1 0.0000 0.0000 0.0000
Li1 0.3333 0.6667 0.7638
Cd1 0.6667 0.3333 0.4145